Entry from Alexandria via LeMat-Bulk: La2YAl at its PBEsol-relaxed geometry (meta-GGA SCAN).

Values from the calculation:
- DOS(E_F): 4.45 states/eV/cell
- Energy of formation: -0.155 eV per atom
- V: 27.93 Å³ per atom
- Symmetry: I-4m2, No. 119

Geometry as POSCAR:
```
La2YAl
1.0
4.777 0.000 0.000
0.000 4.777 0.000
-2.389 -2.389 4.894
Y Al La
1 1 2
Cartesian
2.389 2.389 0.000
0.000 2.389 2.447
0.000 0.000 0.000
2.389 0.000 2.447
```



Entry from Alexandria via LeMat-Bulk: TlFe2Ag at its PBEsol-relaxed geometry (meta-GGA SCAN).

Values from the calculation:
- DOS(E_F): 2.97 states/eV/cell
- Energy of formation: 0.514 eV per atom
- V: 15.49 Å³ per atom
- Symmetry: P4/mmm, No. 123
- E above lowest polymorph: 0.202 eV/atom

Geometry as POSCAR:
```
TlFe2Ag
1.0
2.862 0.029 0.000
-0.029 2.862 0.000
0.000 0.000 7.565
Ag Fe Tl
1 2 1
Cartesian
1.416 1.445 0.000
0.000 0.000 1.779
0.000 0.000 5.786
1.416 1.445 3.783
```



Entry from Alexandria via LeMat-Bulk: CrTeMo at its PBEsol-relaxed geometry (meta-GGA SCAN).

Values from the calculation:
- DOS(E_F): 2.18 states/eV/cell
- Formation energy from raw total energies: 0.50 eV/atom
- V: 18.37 Å³ per atom
- Symmetry: F-43m, No. 216
- E above lowest polymorph: 0.000 eV/atom

Geometry as POSCAR:
```
CrTeMo
1.0
4.272 0.000 0.000
2.136 3.699 0.000
2.136 1.233 3.488
Cr Mo Te
1 1 1
Cartesian
4.272 2.466 1.744
2.136 1.233 0.872
0.000 0.000 0.000
```



Entry from Alexandria via LeMat-Bulk: SiTe3 at its PBEsol-relaxed geometry (meta-GGA SCAN).

Values from the calculation:
- DOS(E_F): 1.86 states/eV/cell
- Formation energy from raw total energies: 0.26 eV/atom
- V: 28.15 Å³ per atom
- Symmetry: Im-3m, No. 229

Geometry as POSCAR:
```
SiTe3
1.0
-1.155 5.135 -0.228
-2.692 -2.232 3.941
5.166 -0.603 0.840
Si Te
1 3
Cartesian
0.000 0.000 0.000
-1.924 1.452 1.856
1.237 -1.417 2.390
2.006 2.266 0.306
```



Please write out number 1 again, unchanged.
Entry from Alexandria via LeMat-Bulk: La2YAl at its PBEsol-relaxed geometry (meta-GGA SCAN).

Values from the calculation:
- DOS(E_F): 4.45 states/eV/cell
- Energy of formation: -0.155 eV per atom
- V: 27.93 Å³ per atom
- Symmetry: I-4m2, No. 119

Geometry as POSCAR:
```
La2YAl
1.0
4.777 0.000 0.000
0.000 4.777 0.000
-2.389 -2.389 4.894
Y Al La
1 1 2
Cartesian
2.389 2.389 0.000
0.000 2.389 2.447
0.000 0.000 0.000
2.389 0.000 2.447
```



Question: DOS(E_F) of number 3 (CrTeMo)?
Answer: 2.18 states/eV/cell